(1)
ZnCoCuGe | PBE | optimized geometry

abc: 4.1486 4.1486 4.1486
angles: 60.00 60.00 60.00
Last column: nearest neighbours and their distance in Å.
Positions (direct):
Cu 0.2500 0.2500 0.2500  4 Ge 2.54, 4 Zn 2.54
Co 0.7500 0.7500 0.7500  4 Zn 2.54, 4 Ge 2.54
Ge 0.0000 0.0000 0.0000  4 Co 2.54, 4 Cu 2.54
Zn 0.5000 0.5000 0.5000  4 Co 2.54, 4 Cu 2.54

Its energy above the most stable polymorph in this dataset is 0.000 eV per atom. For the total energy, the calculation gives -16.662 eV/f.u. The space group is F-43m. Its spin magnetization is 0.0 Bohr magnetons per cell.


(2)
LiZn2Au | PBE | optimized geometry

abc: 3.3239 3.3239 5.5177
angles: 90.00 90.00 90.00
Last column: nearest neighbours and their distance in Å.
Positions (direct):
Zn 0.5000 0.5000 0.2421  2 Zn 2.67-2.85, 4 Li 2.70, 4 Au 2.75
Zn 0.5000 0.5000 0.7579  2 Zn 2.67-2.85, 4 Li 2.70, 4 Au 2.75
Li 0.0000 0.0000 0.0000  8 Zn 2.70, 2 Au 2.76
Au 0.0000 0.0000 0.5000  8 Zn 2.75, 2 Li 2.76

Its energy above the most stable polymorph in this dataset is 0.096 eV per atom. For the total energy, the calculation gives -8.797 eV/f.u. The space group is P4/mmm.


(3)
LiZrBi2 | PBE | optimized geometry

abc: 5.2477 5.2477 5.2477
angles: 60.00 60.00 60.00
Last column: nearest neighbours and their distance in Å.
Positions (direct):
Bi 0.7500 0.7500 0.7500  4 Zr 3.21, 4 Bi 3.21
Bi 0.0000 0.0000 0.0000  4 Bi 3.21, 4 Li 3.21
Zr 0.5000 0.5000 0.5000  4 Bi 3.21, 4 Li 3.21
Li 0.2500 0.2500 0.2500  4 Zr 3.21, 4 Bi 3.21

For the total energy, the calculation gives -17.879 eV/f.u. The space group is F-43m. Its spin magnetization is 1.0 Bohr magnetons per cell.


(4)
GdHo2Mg3Ir2Pt | PBE | optimized geometry

abc: 4.0338 7.3227 7.3227
angles: 120.03 90.00 90.00
Last column: nearest neighbours and their distance in Å.
Positions (direct):
Ir 0.5000 0.6676 0.3312  3 Mg 2.78-2.82, 4 Ho 2.98, 2 Gd 3.00
Ir 0.5000 0.3312 0.6676  3 Mg 2.78-2.82, 4 Ho 2.98, 2 Gd 3.00
Mg 0.5000 0.2469 0.2469  2 Pt 2.70, 2 Ir 2.82
Mg 0.5000 0.7523 0.0012  2 Pt 2.72, 2 Ir 2.78-2.82
Mg 0.5000 0.0012 0.7523  2 Pt 2.72, 2 Ir 2.78-2.82
Ho 0.0000 0.4125 0.0000  4 Ir 2.98, 1 Pt 3.01, 6 Mg 3.20-3.32
Ho 0.0000 0.0000 0.4125  4 Ir 2.98, 1 Pt 3.01, 6 Mg 3.20-3.32
Gd 0.0000 0.5860 0.5860  4 Ir 3.00, 1 Pt 3.05, 6 Mg 3.20-3.33
Pt 0.0000 0.0023 0.0023  6 Mg 2.70-2.72, 2 Ho 3.01

For the total energy, the calculation gives -49.299 eV/f.u. The space group is Amm2. Its spin magnetization is 0.0 Bohr magnetons per cell.


(5)
Pr3Y2Ho | PBE | optimized geometry

abc: 6.3193 6.3193 11.6807
angles: 90.00 90.00 59.99
Last column: nearest neighbours and their distance in Å.
Positions (direct):
Y 0.1667 0.5001 0.7804  6 Pr 3.60-3.61, 3 Ho 3.65, 3 Y 3.65
Y 0.8333 0.4999 0.2804  6 Pr 3.60-3.61, 3 Ho 3.65, 3 Y 3.65
Y 0.4999 0.8333 0.7804  6 Pr 3.60-3.61, 3 Ho 3.65, 3 Y 3.65
Y 0.5001 0.1667 0.2804  6 Pr 3.60-3.61, 3 Ho 3.65, 3 Y 3.65
Ho 0.1664 0.8336 0.2804  6 Pr 3.59-3.60, 6 Y 3.65
Ho 0.8336 0.1664 0.7804  6 Pr 3.59-3.60, 6 Y 3.65
Pr 0.1653 0.1659 0.0303  2 Ho 3.59, 4 Y 3.60-3.61, 6 Pr 3.63-3.66
Pr 0.8341 0.8347 0.0303  2 Ho 3.59, 4 Y 3.60-3.61, 6 Pr 3.63-3.66
Pr 0.8347 0.8341 0.5303  2 Ho 3.59, 4 Y 3.60-3.61, 6 Pr 3.63-3.66
Pr 0.4998 0.5002 0.0303  4 Y 3.60, 2 Ho 3.60, 6 Pr 3.64-3.66
Pr 0.1659 0.1653 0.5303  2 Ho 3.59, 4 Y 3.60-3.61, 6 Pr 3.63-3.66
Pr 0.5002 0.4998 0.5303  4 Y 3.60, 2 Ho 3.60, 6 Pr 3.64-3.66

For the total energy, the calculation gives -31.860 eV/f.u. The calculated formation energy comes out at -5 meV/atom. The space group is Cmcm. Its spin magnetization is 0.0 Bohr magnetons per cell.


(6)
SmI | PBE | optimized geometry

abc: 4.9781 4.9781 4.9781
angles: 60.00 60.00 60.00
Last column: nearest neighbours and their distance in Å.
Positions (direct):
I 0.0000 0.0000 0.0000  4 Sm 3.05
Sm 0.2500 0.2500 0.2500  4 I 3.05

For the total energy, the calculation gives -6.702 eV/f.u. The space group is F-43m. Its spin magnetization is 0.3 Bohr magnetons per cell.